(1)
A plane-wave DFT calculation with PBE was carried out for crystalline Ca2Al3Ag2 at its relaxed geometry.

**Energy relative to the elements**: -0.277 eV/atom

Unit cell a=10.6568 b=4.5037 c=7.0664 alpha=90.00 beta=116.45 gamma=90.00
With the nearest neighbours (Å) after each atom.
Space group C2/m (No. 12)
Inequivalent atoms, fractional coordinates:
Ca (0.1524, 0.0000, 0.2735) (multiplicity 4)  4 Ag 3.04-3.31, 5 Al 3.18-3.36
Al (0.0000, 0.5000, 0.5000) (multiplicity 2)  2 Al 2.74, 4 Ag 2.76
Al (0.1077, 0.5000, 0.9315) (multiplicity 4)  2 Al 2.74-2.86, 3 Ag 2.74-2.75
Ag (0.1332, 0.0000, 0.7278) (multiplicity 4)  5 Al 2.74-2.76, 1 Ca 3.04



(2)
A plane-wave DFT calculation with PBE was carried out for crystalline CaAl2Ag at its relaxed geometry.

**Energy relative to the elements**: -0.070 eV/atom

Unit cell a=6.8343 b=6.8343 c=6.8343 alpha=90.00 beta=90.00 gamma=90.00
With the nearest neighbours (Å) after each atom.
Space group Fm-3m (No. 225)
Inequivalent atoms, fractional coordinates:
Ca (0.0000, 0.0000, 0.0000) (multiplicity 4)  8 Al 2.96
Al (0.2500, 0.2500, 0.2500) (multiplicity 8)  4 Ca 2.96, 4 Ag 2.96
Ag (0.0000, 0.0000, 0.5000) (multiplicity 4)  8 Al 2.96



(3)
A plane-wave DFT calculation with PBE was carried out for crystalline CaAl2Ag4 at its relaxed geometry.

**Distance to the lowest polymorph of the same formula**: 0 meV/atom
**Energy relative to the elements**: -0.217 eV/atom

Unit cell a=6.9831 b=6.9831 c=5.4737 alpha=90.00 beta=90.00 gamma=90.00
With the nearest neighbours (Å) after each atom.
Space group I4/mmm (No. 139)
Inequivalent atoms, fractional coordinates:
Ca (0.0000, 0.0000, 0.0000) (multiplicity 2)  4 Ag 2.97
Al (0.0000, 0.5000, 0.2500) (multiplicity 4)  2 Al 2.74, 8 Ag 2.87
Ag (0.1994, 0.1994, 0.5000) (multiplicity 8)  4 Ag 2.78-2.91, 4 Al 2.87, 1 Ca 2.97